No. 1
The following is a PBE calculation of a relaxed structure of Zr6Nb2O17, from the Alexandria database.

Final energy: -465.7 eV per cell
Fermi-level density of states: 0.0 states/eV/f.u.
Raw formation energy: -7440.2 kJ/mol of formula units
Density: 5.95 g cm⁻³
Magnetic moment: 0.00 μB/f.u.

Cell and atoms, written as CIF:
```
data_Zr6Nb2O17
_chemical_formula_sum 'Zr12 Nb4 O34'
_symmetry_space_group_name_H-M 'P 1'
_symmetry_Int_Tables_number 1
_symmetry_space_group_name_Hall 'P 1'
_cell_length_a 21.199
_cell_length_b 21.199
_cell_length_c 5.039
_cell_angle_alpha 95.73
_cell_angle_beta 95.73
_cell_angle_gamma 14.43
loop_
_atom_site_label
_atom_site_type_symbol
_atom_site_fract_x
_atom_site_fract_y
_atom_site_fract_z
Zr1 Zr 0.000 0.000 0.000
Zr2 Zr 0.048 0.455 0.266
Zr3 Zr 0.178 0.567 0.399
Zr4 Zr 0.189 0.430 0.812
Zr5 Zr 0.433 0.822 0.601
Zr6 Zr 0.503 0.497 0.500
Zr7 Zr 0.545 0.952 0.734
Zr8 Zr 0.570 0.811 0.188
Zr9 Zr 0.673 0.073 0.876
Zr10 Zr 0.804 0.067 0.464
Zr11 Zr 0.927 0.327 0.124
Zr12 Zr 0.933 0.196 0.536
Nb1 Nb 0.062 0.313 0.649
Nb2 Nb 0.301 0.568 0.923
Nb3 Nb 0.432 0.699 0.077
Nb4 Nb 0.687 0.938 0.351
O1 O 0.013 0.593 0.175
O2 O 0.091 0.191 0.778
O3 O 0.108 0.723 0.221
O4 O 0.123 0.806 0.701
O5 O 0.177 0.014 0.286
O6 O 0.194 0.877 0.299
O7 O 0.196 0.317 0.896
O8 O 0.259 0.058 0.345
O9 O 0.277 0.892 0.779
O10 O 0.292 0.146 0.413
O11 O 0.305 0.643 0.169
O12 O 0.313 0.402 0.036
O13 O 0.357 0.695 0.831
O14 O 0.381 0.183 0.484
O15 O 0.407 0.987 0.825
O16 O 0.450 0.234 0.562
O17 O 0.471 0.338 0.620
O18 O 0.544 0.064 0.001
O19 O 0.597 0.237 0.105
O20 O 0.598 0.687 0.964
O21 O 0.611 0.318 0.744
O22 O 0.662 0.529 0.380
O23 O 0.682 0.389 0.256
O24 O 0.683 0.804 0.104
O25 O 0.763 0.403 0.895
O26 O 0.766 0.550 0.438
O27 O 0.803 0.151 0.285
O28 O 0.809 0.909 0.222
O29 O 0.817 0.619 0.516
O30 O 0.849 0.197 0.715
O31 O 0.854 0.708 0.587
O32 O 0.936 0.456 0.999
O33 O 0.942 0.741 0.655
O34 O 0.986 0.823 0.714
```

---

No. 2
The following is a PBE calculation of a relaxed structure of LuPuInPt, from the Alexandria database.

Formation energy: -513.6 meV per atom
Final energy: -29.7 eV per cell
Fermi-level density of states: 10.0 states/eV/f.u.
Density: 12.90 g cm⁻³
Magnetic moment: 5.33 μB/f.u.

Cell and atoms, written as CIF:
```
data_LuPuInPt
_chemical_formula_sum 'Lu1 Pu1 In1 Pt1'
_symmetry_space_group_name_H-M 'P 1'
_symmetry_Int_Tables_number 1
_symmetry_space_group_name_Hall 'P 1'
_cell_length_a 5.100
_cell_length_b 5.100
_cell_length_c 5.100
_cell_angle_alpha 60.00
_cell_angle_beta 60.00
_cell_angle_gamma 60.00
loop_
_atom_site_label
_atom_site_type_symbol
_atom_site_fract_x
_atom_site_fract_y
_atom_site_fract_z
Lu1 Lu 0.000 0.000 0.000
Pu1 Pu 0.500 0.500 0.500
In1 In 0.250 0.250 0.250
Pt1 Pt 0.750 0.750 0.750
```

---

No. 3
The following is a PBE calculation of a relaxed structure of K2LiCdCl5, from the Alexandria database.

Final energy: -58.2 eV per cell
Fermi-level density of states: 0.0 states/eV/f.u.
Raw formation energy: -1430.5 kJ/mol of formula units
Density: 2.54 g cm⁻³
Magnetic moment: 0.04 μB/f.u.

Cell and atoms, written as CIF:
```
data_K2LiCdCl5
_chemical_formula_sum 'K4 Li2 Cd2 Cl10'
_symmetry_space_group_name_H-M 'P 1'
_symmetry_Int_Tables_number 1
_symmetry_space_group_name_Hall 'P 1'
_cell_length_a 9.200
_cell_length_b 9.200
_cell_length_c 13.340
_cell_angle_alpha 90.00
_cell_angle_beta 90.00
_cell_angle_gamma 154.25
loop_
_atom_site_label
_atom_site_type_symbol
_atom_site_fract_x
_atom_site_fract_y
_atom_site_fract_z
K1 K 0.100 0.900 0.500
K2 K 0.130 0.870 0.141
K3 K 0.870 0.130 0.641
K4 K 0.900 0.100 0.000
Li1 Li 0.436 0.564 0.266
Li2 Li 0.564 0.436 0.766
Cd1 Cd 0.211 0.789 0.852
Cd2 Cd 0.789 0.211 0.352
Cl1 Cl 0.064 0.936 0.860
Cl2 Cl 0.282 0.718 0.487
Cl3 Cl 0.305 0.695 0.216
Cl4 Cl 0.354 0.646 0.829
Cl5 Cl 0.499 0.501 0.115
Cl6 Cl 0.501 0.499 0.615
Cl7 Cl 0.646 0.354 0.329
Cl8 Cl 0.695 0.305 0.716
Cl9 Cl 0.718 0.282 0.987
Cl10 Cl 0.936 0.064 0.360
```

---

No. 4
The following is a PBE calculation of a relaxed structure of AcDyMgTl, from the Alexandria database.

Offset from the most stable computed form: 12 meV/atom
Formation energy: -192.2 meV per atom
Final energy: -13.4 eV per cell
Fermi-level density of states: 4.0 states/eV/f.u.
Density: 8.23 g cm⁻³
Magnetic moment: 0.00 μB/f.u.

Cell and atoms, written as CIF:
```
data_AcDyMgTl
_chemical_formula_sum 'Ac1 Dy1 Mg1 Tl1'
_symmetry_space_group_name_H-M 'P 1'
_symmetry_Int_Tables_number 1
_symmetry_space_group_name_Hall 'P 1'
_cell_length_a 5.608
_cell_length_b 5.608
_cell_length_c 5.608
_cell_angle_alpha 60.00
_cell_angle_beta 60.00
_cell_angle_gamma 60.00
loop_
_atom_site_label
_atom_site_type_symbol
_atom_site_fract_x
_atom_site_fract_y
_atom_site_fract_z
Ac1 Ac 0.000 0.000 0.000
Dy1 Dy 0.500 0.500 0.500
Mg1 Mg 0.750 0.750 0.750
Tl1 Tl 0.250 0.250 0.250
```

---

No. 5
The following is a PBE calculation of a relaxed structure of Mg7BiPb4, from the Alexandria database.

Formation energy: 32.7 meV per atom
Final energy: -29.5 eV per cell
Fermi-level density of states: 5.8 states/eV/f.u.
Density: 6.09 g cm⁻³
Magnetic moment: 0.00 μB/f.u.

Cell and atoms, written as CIF:
```
data_Mg7BiPb4
_chemical_formula_sum 'Mg7 Bi1 Pb4'
_symmetry_space_group_name_H-M 'P 1'
_symmetry_Int_Tables_number 1
_symmetry_space_group_name_Hall 'P 1'
_cell_length_a 6.905
_cell_length_b 6.905
_cell_length_c 11.037
_cell_angle_alpha 119.80
_cell_angle_beta 119.80
_cell_angle_gamma 48.23
loop_
_atom_site_label
_atom_site_type_symbol
_atom_site_fract_x
_atom_site_fract_y
_atom_site_fract_z
Mg1 Mg 0.000 0.000 0.000
Mg2 Mg 0.143 0.143 0.538
Mg3 Mg 0.299 0.299 0.083
Mg4 Mg 0.427 0.427 0.665
Mg5 Mg 0.573 0.573 0.335
Mg6 Mg 0.701 0.701 0.917
Mg7 Mg 0.857 0.857 0.462
Bi1 Bi 0.500 0.500 0.000
Pb1 Pb 0.083 0.083 0.766
Pb2 Pb 0.231 0.231 0.316
Pb3 Pb 0.769 0.769 0.684
Pb4 Pb 0.917 0.917 0.234
```

---

No. 6
The following is a PBE calculation of a relaxed structure of Li23Mg6Ni, from the Alexandria database.

Formation energy: 26.3 meV per atom
Final energy: -58.6 eV per cell
Fermi-level density of states: 16.8 states/eV/f.u.
Density: 1.05 g cm⁻³
Magnetic moment: 0.00 μB/f.u.

Cell and atoms, written as CIF:
```
data_Li23Mg6Ni
_chemical_formula_sum 'Li23 Mg6 Ni1'
_symmetry_space_group_name_H-M 'P 1'
_symmetry_Int_Tables_number 1
_symmetry_space_group_name_Hall 'P 1'
_cell_length_a 9.349
_cell_length_b 9.349
_cell_length_c 9.349
_cell_angle_alpha 60.00
_cell_angle_beta 60.00
_cell_angle_gamma 60.00
loop_
_atom_site_label
_atom_site_type_symbol
_atom_site_fract_x
_atom_site_fract_y
_atom_site_fract_z
Li1 Li 0.000 0.000 0.000
Li2 Li 0.000 0.000 0.500
Li3 Li 0.000 0.500 0.000
Li4 Li 0.000 0.500 0.500
Li5 Li 0.017 0.661 0.661
Li6 Li 0.117 0.117 0.117
Li7 Li 0.117 0.117 0.649
Li8 Li 0.117 0.649 0.117
Li9 Li 0.339 0.339 0.339
Li10 Li 0.339 0.339 0.983
Li11 Li 0.339 0.983 0.339
Li12 Li 0.351 0.883 0.883
Li13 Li 0.500 0.000 0.000
Li14 Li 0.500 0.000 0.500
Li15 Li 0.500 0.500 0.000
Li16 Li 0.649 0.117 0.117
Li17 Li 0.661 0.017 0.661
Li18 Li 0.661 0.661 0.017
Li19 Li 0.661 0.661 0.661
Li20 Li 0.883 0.351 0.883
Li21 Li 0.883 0.883 0.351
Li22 Li 0.883 0.883 0.883
Li23 Li 0.983 0.339 0.339
Mg1 Mg 0.301 0.301 0.699
Mg2 Mg 0.301 0.699 0.301
Mg3 Mg 0.301 0.699 0.699
Mg4 Mg 0.699 0.301 0.301
Mg5 Mg 0.699 0.301 0.699
Mg6 Mg 0.699 0.699 0.301
Ni1 Ni 0.500 0.500 0.500
```